A plane-wave DFT calculation with PBE-GGA was carried out for an optimized crystal structure of PmTmGaAg.

Geometry as extended XYZ:
```
4
Lattice="-1.780 1.917 2.427 -2.465 0.813 -2.449 -3.928 -6.094 1.932" Properties=species:S:1:pos:R:3 pbc="T T T"
Ga -4.443 -2.235 1.130
Tm -1.405 -2.180 0.691
Pm -3.329 -5.164 1.637
Ag -2.641 0.560 0.244
```

Values from the calculation:
Space-group type: P4mm
Uncorrected energy: -4.22 eV per atom
ΔH_f (0 K): -448 meV per atom